# 1
La2Tb6Y3Er | PBE | relaxed

## Properties
Density: 7.03 g/cm³
Energy of formation from the pure elements: 0.021 eV/atom

Cell: 6.2231 10.7781 11.9069 Å, 90.00 100.01 90.00°
Space group C2/m (No. 12)
Inequivalent atoms, fractional coordinates:
La 0.0000 0.1665 0.0000 [4 per cell]
Tb 0.2471 0.5000 0.7467 [4 per cell]
Tb 0.2495 0.1659 0.7470 [8 per cell]
Y 0.0000 0.0000 0.5000 [2 per cell]
Y 0.0000 0.3338 0.5000 [4 per cell]
Er 0.0000 0.5000 0.0000 [2 per cell]



# 2
LaTbYEr3 | PBE | relaxed

## Properties
Density: 7.57 g/cm³
Energy of formation from the pure elements: 0.118 eV/atom

Cell: 5.7700 11.7684 11.4747 Å, 90.00 90.00 90.00°
Space group Cmcm (No. 63)
Inequivalent atoms, fractional coordinates:
La 0.0000 0.0226 0.2500 [4 per cell]
Tb 0.0000 0.5000 0.0000 [4 per cell]
Y 0.0000 0.3272 0.2500 [4 per cell]
Er 0.0000 0.1759 0.5189 [8 per cell]
Er 0.0000 0.3459 0.7500 [4 per cell]